Model a:
This record from the Alexandria database describes a relaxed Cs2BBr crystal. The functional is PBE.

a b c (Å): 7.738 7.738 17.000
angles (deg): 90.00 90.00 90.00
Space group I-42d (No. 122)
Symmetry-distinct sites (fractional):
Cs1 0.231 0.250 0.125
B1 0.000 0.000 0.000
Br1 0.000 0.000 0.500

## Properties
Magnetic moment in μB per cell: 8.0

---

Model b:
This record from the Alexandria database describes a relaxed Cs2BBr crystal. The functional is PBE.

a b c (Å): 8.675 8.675 8.675
angles (deg): 90.00 90.00 90.00
Space group Fm-3m (No. 225)
Symmetry-distinct sites (fractional):
Cs1 0.250 0.250 0.250
B1 0.000 0.000 0.000
Br1 0.000 0.000 0.500

## Properties
Magnetic moment in μB per cell: 8.0

---

Least stable structure: model a

---

Model a:
This record from the Alexandria database describes a relaxed CuBBr4 crystal. The functional is PBE.

a b c (Å): 6.160 6.166 11.525
angles (deg): 90.00 90.00 90.00
Space group P222 (No. 16)
Symmetry-distinct sites (fractional):
Cu1 0.000 0.000 0.000
Cu2 0.500 0.000 0.500
B1 0.000 0.000 0.500
B2 0.000 0.500 0.000
Br1 0.188 0.303 0.101
Br2 0.197 0.188 0.601

## Properties
Magnetic moment in μB per cell: 0.2

---

Model b:
This record from the Alexandria database describes a relaxed CuBBr4 crystal. The functional is PBE.

a b c (Å): 6.988 6.988 8.807
angles (deg): 90.00 90.00 90.00
Space group P4_2/mmc (No. 131)
Symmetry-distinct sites (fractional):
Cu1 0.000 0.000 0.000
B1 0.000 0.500 0.000
Br1 0.221 0.282 0.000

## Properties
Magnetic moment in μB per cell: 0.0

---

Least stable structure: model b

---

Model a:
This record from the Alexandria database describes a relaxed Cu2BBr crystal. The functional is PBE.

a b c (Å): 6.154 6.154 6.154
angles (deg): 90.00 90.00 90.00
Space group Fm-3m (No. 225)
Symmetry-distinct sites (fractional):
Cu1 0.250 0.250 0.250
B1 0.000 0.000 0.000
Br1 0.000 0.000 0.500

## Properties
Magnetic moment in μB per cell: 0.0

---

Model b:
This record from the Alexandria database describes a relaxed Cu2BBr crystal. The functional is PBE.

a b c (Å): 5.756 5.756 8.004
angles (deg): 90.00 90.00 90.00
Space group I-42d (No. 122)
Symmetry-distinct sites (fractional):
Cu1 0.171 0.250 0.125
B1 0.000 0.000 0.000
Br1 0.000 0.000 0.500

## Properties
Magnetic moment in μB per cell: 0.0

---

Least stable structure: model a

---

Model a:
This record from the Alexandria database describes a relaxed CuBSe2Br crystal. The functional is PBE.

a b c (Å): 4.156 4.156 7.457
angles (deg): 90.00 90.00 90.00
Space group P4/mmm (No. 123)
Symmetry-distinct sites (fractional):
Cu1 0.000 0.000 0.000
B1 0.500 0.500 0.500
Se1 0.000 0.500 0.500
Br1 0.500 0.500 0.000

## Properties
Magnetic moment in μB per cell: 0.0

---

Model b:
This record from the Alexandria database describes a relaxed CuBSe2Br crystal. The functional is PBE.

a b c (Å): 4.749 4.749 5.101
angles (deg): 90.00 90.00 90.00
Space group P4/mmm (No. 123)
Symmetry-distinct sites (fractional):
Cu1 0.000 0.000 0.000
B1 0.500 0.500 0.500
Se1 0.000 0.500 0.000
Br1 0.000 0.000 0.500

## Properties
Magnetic moment in μB per cell: 0.0

---

Least stable structure: model b

---

Model a:
This record from the Alexandria database describes a relaxed Er4BBr5 crystal. The functional is PBE.

a b c (Å): 17.821 3.872 8.110
angles (deg): 90.00 102.75 90.00
Space group C2/m (No. 12)
Symmetry-distinct sites (fractional):
Er1 0.001 0.000 0.294
Er2 0.141 0.500 0.574
B1 0.000 0.500 0.500
Br1 0.000 0.500 0.000
Br2 0.165 0.000 0.836
Br3 0.172 0.000 0.333

## Properties
Magnetic moment in μB per cell: 0.0

---

Model b:
This record from the Alexandria database describes a relaxed Er4BBr5 crystal. The functional is PBE.

a b c (Å): 19.859 3.870 8.052
angles (deg): 90.00 90.33 90.00
Space group C2/m (No. 12)
Symmetry-distinct sites (fractional):
Er1 0.000 0.000 0.208
Er2 0.122 0.500 0.002
B1 0.000 0.500 0.000
Br1 0.000 0.500 0.500
Br2 0.150 0.000 0.252
Br3 0.150 0.000 0.753

## Properties
Magnetic moment in μB per cell: 0.0

---

Least stable structure: model b

---

Model a:
This record from the Alexandria database describes a relaxed BBr2F2 crystal. The functional is PBE.

a b c (Å): 5.283 5.283 7.237
angles (deg): 90.00 90.00 90.00
Space group P4/mbm (No. 127)
Symmetry-distinct sites (fractional):
B1 0.000 0.000 0.000
Br1 0.171 0.329 0.500
F1 0.249 0.749 0.000

## Properties
Magnetic moment in μB per cell: 0.0

---

Model b:
This record from the Alexandria database describes a relaxed BBr2F2 crystal. The functional is PBE.

a b c (Å): 3.804 3.804 15.793
angles (deg): 90.00 90.00 90.00
Space group I4/mmm (No. 139)
Symmetry-distinct sites (fractional):
B1 0.000 0.000 0.000
Br1 0.000 0.500 0.250
F1 0.000 0.000 0.434

## Properties
Magnetic moment in μB per cell: 1.5

---

Least stable structure: model b

---

Model a:
This record from the Alexandria database describes a relaxed BBr2F crystal. The functional is PBE.

a b c (Å): 4.0796 4.0796 20.6618
angles (deg): 90.00 90.00 120.00
Space group R-3m (No. 166, hexagonal axes)
Symmetry-distinct sites (fractional):
B1 0.0000 0.0000 0.0000
Br1 0.0000 0.0000 0.0857
F1 0.0000 0.0000 0.5000

## Properties
Magnetic moment in μB per cell: 0.0

---

Model b:
This record from the Alexandria database describes a relaxed BBr2F crystal. The functional is PBE.

a b c (Å): 6.104 6.104 7.512
angles (deg): 90.00 90.00 90.00
Space group I-42d (No. 122)
Symmetry-distinct sites (fractional):
B1 0.000 0.000 0.000
Br1 0.173 0.250 0.125
F1 0.000 0.000 0.500

## Properties
Magnetic moment in μB per cell: 0.0

---

Model c:
This record from the Alexandria database describes a relaxed BBr2F crystal. The functional is PBE.

a b c (Å): 6.305 6.305 6.305
angles (deg): 90.00 90.00 90.00
Space group Fm-3m (No. 225)
Symmetry-distinct sites (fractional):
B1 0.000 0.000 0.000
Br1 0.250 0.250 0.250
F1 0.000 0.000 0.500

## Properties
Magnetic moment in μB per cell: 0.0

---

Model d:
This record from the Alexandria database describes a relaxed BBr2F crystal. The functional is PBE.

a b c (Å): 3.3038 3.3038 22.5134
angles (deg): 90.00 90.00 120.00
Space group R-3m (No. 166, hexagonal axes)
Symmetry-distinct sites (fractional):
B1 0.0000 0.0000 0.0000
Br1 0.0000 0.0000 0.3963
F1 0.0000 0.0000 0.5000

## Properties
Magnetic moment in μB per cell: 0.0

---

Least stable structure: model c

---

Model a:
This record from the Alexandria database describes a relaxed BBrNF2 crystal. The functional is PBE.

a b c (Å): 4.673 4.673 3.677
angles (deg): 90.00 90.00 90.00
Space group P4/mmm (No. 123)
Symmetry-distinct sites (fractional):
B1 0.000 0.000 0.000
Br1 0.500 0.500 0.500
N1 0.500 0.500 0.000
F1 0.000 0.500 0.500

## Properties
Magnetic moment in μB per cell: 0.0

---

Model b:
This record from the Alexandria database describes a relaxed BBrNF2 crystal. The functional is PBE.

a b c (Å): 3.291 3.291 4.584
angles (deg): 90.00 90.00 90.00
Space group P4/mmm (No. 123)
Symmetry-distinct sites (fractional):
B1 0.000 0.000 0.000
Br1 0.500 0.500 0.500
N1 0.000 0.000 0.500
F1 0.000 0.500 0.000

## Properties
Magnetic moment in μB per cell: 0.0

---

Least stable structure: model a

---

Model a:
This record from the Alexandria database describes a relaxed BBrN2F crystal. The functional is PBE.

a b c (Å): 3.729 3.729 5.270
angles (deg): 90.00 90.00 90.00
Space group P4/mmm (No. 123)
Symmetry-distinct sites (fractional):
B1 0.000 0.000 0.000
Br1 0.500 0.500 0.500
N1 0.000 0.500 0.500
F1 0.500 0.500 0.000

## Properties
Magnetic moment in μB per cell: 0.3

---

Model b:
This record from the Alexandria database describes a relaxed BBrN2F crystal. The functional is PBE.

a b c (Å): 3.601 3.601 3.428
angles (deg): 90.00 90.00 90.00
Space group P4/mmm (No. 123)
Symmetry-distinct sites (fractional):
B1 0.000 0.000 0.000
Br1 0.500 0.500 0.500
N1 0.000 0.500 0.000
F1 0.000 0.000 0.500

## Properties
Magnetic moment in μB per cell: 0.0

---

Least stable structure: model a

---

Model a:
This record from the Alexandria database describes a relaxed Fe2BBr crystal. The functional is PBE.

a b c (Å): 4.785 4.785 9.885
angles (deg): 90.00 90.00 90.00
Space group I-42d (No. 122)
Symmetry-distinct sites (fractional):
Fe1 0.177 0.250 0.125
B1 0.000 0.000 0.000
Br1 0.000 0.000 0.500

## Properties
Magnetic moment in μB per cell: 0.0

---

Model b:
This record from the Alexandria database describes a relaxed Fe2BBr crystal. The functional is PBE.

a b c (Å): 5.748 5.748 5.748
angles (deg): 90.00 90.00 90.00
Space group Fm-3m (No. 225)
Symmetry-distinct sites (fractional):
Fe1 0.250 0.250 0.250
B1 0.000 0.000 0.000
Br1 0.000 0.000 0.500

## Properties
Magnetic moment in μB per cell: 15.8

---

Least stable structure: model b

---

Model a:
This record from the Alexandria database describes a relaxed FeBSe2Br crystal. The functional is PBE.

a b c (Å): 4.670 4.670 5.335
angles (deg): 90.00 90.00 90.00
Space group P4/mmm (No. 123)
Symmetry-distinct sites (fractional):
Fe1 0.000 0.000 0.000
B1 0.500 0.500 0.500
Se1 0.000 0.500 0.000
Br1 0.000 0.000 0.500

## Properties
Magnetic moment in μB per cell: 3.7

---

Model b:
This record from the Alexandria database describes a relaxed FeBSe2Br crystal. The functional is PBE.

a b c (Å): 4.491 4.491 4.632
angles (deg): 90.00 90.00 90.00
Space group P4/mmm (No. 123)
Symmetry-distinct sites (fractional):
Fe1 0.000 0.000 0.000
B1 0.500 0.500 0.500
Se1 0.000 0.500 0.500
Br1 0.500 0.500 0.000

## Properties
Magnetic moment in μB per cell: 4.1

---

Least stable structure: model a

---

Model a:
This record from the Alexandria database describes a relaxed FeBSeBr2 crystal. The functional is PBE.

a b c (Å): 5.097 5.097 4.413
angles (deg): 90.00 90.00 90.00
Space group P4/mmm (No. 123)
Symmetry-distinct sites (fractional):
Fe1 0.000 0.000 0.000
B1 0.500 0.500 0.500
Se1 0.000 0.000 0.500
Br1 0.000 0.500 0.000

## Properties
Magnetic moment in μB per cell: 0.0

---

Model b:
This record from the Alexandria database describes a relaxed FeBSeBr2 crystal. The functional is PBE.

a b c (Å): 4.580 4.580 4.718
angles (deg): 90.00 90.00 90.00
Space group P4/mmm (No. 123)
Symmetry-distinct sites (fractional):
Fe1 0.000 0.000 0.000
B1 0.500 0.500 0.500
Se1 0.500 0.500 0.000
Br1 0.000 0.500 0.500

## Properties
Magnetic moment in μB per cell: 4.0

---

Least stable structure: model a